Record 1
Material: ZnBiO2F
Method: DFT, PBE-GGA
State: relaxed

Calculated values
E   -5.018 eV/atom

Cell: 5.0643 4.0272 7.1936 Å, 90.00 90.34 90.00°
Last column: nearest neighbours and their distance in Å.
Atoms (fractional coordinates):
O1 0.0425 0.7500 0.8918  1 Zn 2.10, 3 Bi 2.25-2.27
O2 0.0074 0.7500 0.3646  3 Zn 2.01-2.11, 1 Bi 2.12
O3 0.9926 0.2500 0.6354  3 Zn 2.01-2.11, 1 Bi 2.12
O4 0.9575 0.2500 0.1082  1 Zn 2.10, 3 Bi 2.25-2.27
F1 0.5031 0.2500 0.3008  1 Zn 1.96
F2 0.4969 0.7500 0.6992  1 Zn 1.96
Zn1 0.8686 0.7500 0.6255  1 F 1.96, 4 O 2.01-2.11
Zn2 0.1314 0.2500 0.3745  1 F 1.96, 4 O 2.01-2.11
Bi1 0.7545 0.7500 0.1294  4 O 2.12-2.27
Bi2 0.2455 0.2500 0.8706  4 O 2.12-2.27

---

Record 2
Material: FeSiMoPt
Method: DFT, PBE-GGA
State: relaxed

Calculated values
Energy above the most stable polymorph in this dataset   0.000 eV/f.u.

Cell: 4.2812 4.2812 4.2812 Å, 60.00 60.00 60.00°
Last column: nearest neighbours and their distance in Å.
Atoms (fractional coordinates):
Pt1 0.5000 0.5000 0.5000  4 Fe 2.62, 4 Mo 2.62
Si1 0.0000 0.0000 0.0000  4 Mo 2.62, 4 Fe 2.62
Fe1 0.7500 0.7500 0.7500  4 Pt 2.62, 4 Si 2.62
Mo1 0.2500 0.2500 0.2500  4 Si 2.62, 4 Pt 2.62

---

Record 3
Material: DyErCo2Pb
Method: DFT, PBE-GGA
State: relaxed

Calculated values
E   -5.764 eV/atom

Cell: 3.8295 7.2869 7.2869 Å, 30.50 90.00 90.00°
Last column: nearest neighbours and their distance in Å.
Atoms (fractional coordinates):
Er1 0.0000 0.6414 0.6414  6 Co 2.85-2.87
Co1 0.5000 0.7935 0.7935  2 Co 2.28
Co2 0.5000 0.2052 0.2052  2 Co 2.28
Pb1 0.5000 0.0008 0.0008  2 Co 2.87-2.92
Dy1 0.0000 0.3592 0.3592  6 Co 2.86-2.89

---

Record 4
Material: LuTlHg2
Method: DFT, PBE-GGA
State: relaxed

Calculated values
E   -2.004 eV/atom

Cell: 5.1524 5.1524 5.1524 Å, 60.00 60.00 60.00°
Last column: nearest neighbours and their distance in Å.
Atoms (fractional coordinates):
Lu1 0.2500 0.2500 0.2500  4 Tl 3.16, 4 Hg 3.16
Hg1 0.7500 0.7500 0.7500  4 Tl 3.16, 4 Hg 3.16
Hg2 0.0000 0.0000 0.0000  4 Hg 3.16, 4 Lu 3.16
Tl1 0.5000 0.5000 0.5000  4 Hg 3.16, 4 Lu 3.16

---

Record 5
Material: Lu2Mo4Pb3C3
Method: DFT, PBE-GGA
State: relaxed

Calculated values
E   -7.711 eV/atom

Cell: 5.7907 5.7907 14.4871 Å, 100.83 100.83 60.28°
Last column: nearest neighbours and their distance in Å.
Atoms (fractional coordinates):
C1 0.0000 0.5000 0.5000  4 Mo 2.15, 2 Lu 2.38
C2 0.5000 0.0000 0.0000  4 Mo 2.15, 2 Lu 2.38
C3 0.1523 0.6735 0.9998  4 Mo 2.15, 2 Lu 2.38
C4 0.8477 0.3265 0.0002  4 Mo 2.15, 2 Lu 2.38
C5 0.6735 0.1523 0.4998  4 Mo 2.15, 2 Lu 2.38
C6 0.3265 0.8477 0.5002  4 Mo 2.15, 2 Lu 2.38
Lu1 0.4709 0.6284 0.9060  3 C 2.38
Lu2 0.3716 0.5291 0.5940  3 C 2.38
Lu3 0.5291 0.3716 0.0940  3 C 2.38
Lu4 0.6284 0.4709 0.4060  3 C 2.38
Mo1 0.8049 0.9862 0.9307  3 C 2.15
Mo2 0.0138 0.1951 0.5693  3 C 2.15
Mo3 0.1951 0.0138 0.0693  3 C 2.15
Mo4 0.8470 0.6896 0.0690  3 C 2.15
Mo5 0.1530 0.3104 0.9310  3 C 2.15
Mo6 0.3104 0.1530 0.4310  3 C 2.15
Mo7 0.6896 0.8470 0.5690  3 C 2.15
Mo8 0.9862 0.8049 0.4307  3 C 2.15
Pb1 0.4183 0.2133 0.7506  2 Lu 3.06-3.07, 4 Mo 3.10-3.20, 4 Pb 3.17-3.20
Pb2 0.5818 0.7867 0.2494  2 Lu 3.06-3.07, 4 Mo 3.10-3.20, 4 Pb 3.17-3.20
Pb3 0.9488 0.0512 0.2500  2 Lu 3.08, 4 Mo 3.13-3.19, 4 Pb 3.17-3.20
Pb4 0.7867 0.5818 0.7494  2 Lu 3.06-3.07, 4 Mo 3.10-3.20, 4 Pb 3.17-3.20
Pb5 0.0512 0.9488 0.7500  2 Lu 3.08, 4 Mo 3.13-3.19, 4 Pb 3.17-3.20
Pb6 0.2133 0.4182 0.2506  2 Lu 3.06-3.07, 4 Mo 3.10-3.20, 4 Pb 3.17-3.20

---

Record 6
Material: TaBeSn
Method: DFT, PBE-GGA
State: relaxed

Calculated values
Energy above the most stable polymorph in this dataset   1.119 eV/f.u.

Cell: 4.4527 4.4527 4.4527 Å, 60.00 60.00 60.00°
Last column: nearest neighbours and their distance in Å.
Atoms (fractional coordinates):
Ta1 0.0000 0.0000 0.0000  4 Sn 2.73, 4 Be 2.73
Be1 0.2500 0.2500 0.2500  4 Ta 2.73
Sn1 0.7500 0.7500 0.7500  4 Ta 2.73